VASP calculation (PBE) on a geometry-optimized Zr2GaAgH structure.

Computed properties:
- Electronic total energy: -5.576 eV per atom
- Mass density: 7.503 Mg/m³

Cell lengths 4.357, 4.357, 4.210 Å; angles 90.00, 90.00, 90.00 degrees
Space group P4/mmm (No. 123)
Asymmetric unit:
1 Zr 0.000 0.500 0.000
2 Ga 0.000 0.000 0.500
3 Ag 0.500 0.500 0.500
4 H 0.500 0.500 0.000

VASP calculation (PBE) on a geometry-optimized HfGa2Ag2 structure.

Computed properties:
- Excess energy over the best structure of this formula in the dataset: 51.8 meV per atom
- Electronic total energy: -4.347 eV per atom
- Mass density: 9.772 Mg/m³
- E_form: -0.01 eV per atom

Cell lengths 7.752, 7.752, 3.018 Å; angles 90.00, 90.00, 90.00 degrees
Space group P4/mbm (No. 127)
Asymmetric unit:
1 Hf 0.000 0.000 0.000
2 Ga 0.149 0.351 0.000
3 Ag 0.151 0.651 0.500